Crystalline Be2CoO at its relaxed geometry. Source: the Alexandria database, functional PBE with a Hubbard U.

abc: 4.906 4.906 6.560
angles: 90.00 90.00 90.00
Space group I-42d (No. 122)
Symmetry-distinct sites (fractional):
Be 0.139 0.250 0.125 (multiplicity 8)
Co 0.000 0.000 0.500 (multiplicity 4)
O 0.000 0.000 0.000 (multiplicity 4)

Calculated total energy   -4.897 eV per atom
DOS at the Fermi energy   0.778 states/eV per atom